[1]
6
Lattice="7.553 1.871 1.097 4.881 6.060 1.097 -0.617 -0.394 4.910" Properties=species:S:1:pos:R:3 comment="Tb4YSc, optimized geometry, DFT PBE" e_form_kj_per_mol_fu=20 n_ef_per_ev_fu=8.56 pbc="T T T"
Tb 4.172 2.661 0.737
Tb 7.645 4.876 6.367
Tb 10.069 6.422 4.287
Tb 1.749 1.115 2.817
Y 5.909 3.769 3.552
Sc 0.000 0.000 0.000

[2]
5
Lattice="5.219 0.000 0.000 0.000 5.219 0.000 0.000 0.000 5.275" Properties=species:S:1:pos:R:3 comment="CuSnHg2I, optimized geometry, DFT PBE" e_form_raw_mev_per_atom=22 n_ef_per_ev_fu=1.23 pbc="T T T"
I 2.609 2.609 2.638
Hg 0.000 2.609 0.000
Hg 2.609 0.000 0.000
Cu 0.000 0.000 0.000
Sn 0.000 0.000 2.638

[3]
5
Lattice="-0.745 3.842 0.729 -3.905 -0.693 -0.338 -0.199 -0.778 3.899" Properties=species:S:1:pos:R:3 comment="Be3NiH, optimized geometry, DFT PBE" total_energy_ev_per_atom=-3.056 n_ef_per_ev_fu=2.11 pbc="T T T"
Ni 0.000 0.000 0.000
H -2.424 1.185 2.145
Be -1.953 -0.346 -0.169
Be -0.100 -0.389 1.949
Be -0.372 1.921 0.364

[4]
4
Lattice="2.968 0.000 0.000 0.000 2.968 0.000 0.000 0.000 6.699" Properties=species:S:1:pos:R:3 comment="PaGaCo2, optimized geometry, DFT PBE" e_form_kj_per_mol_fu=-94 n_ef_per_ev_fu=3.22 pbc="T T T"
Pa 1.484 1.484 0.000
Co 0.000 0.000 4.725
Co 0.000 0.000 1.974
Ga 1.484 1.484 3.349